Density functional theory data (PBE) for a relaxed Cs2ScHgBr6 crystal.

Computed properties:
The value obtained for the electronic total energy is -3.27 eV/atom. As for the total magnetic moment: 0.14 μB/cell.

Cell: 8.2002 8.2002 18.7974 Å, 90.00 90.00 120.00°
Space group R3 (No. 146, hexagonal axes)
Symmetry-distinct sites (fractional):
1 Cs 0.0000 0.0000 0.0000 (multiplicity 3)
2 Cs 0.0000 0.0000 0.4888 (multiplicity 3)
3 Sc 0.0000 0.0000 0.7461 (multiplicity 3)
4 Hg 0.0000 0.0000 0.2486 (multiplicity 3)
5 Br 0.0296 0.4627 0.4931 (multiplicity 9)
6 Br 0.1287 0.7612 0.3295 (multiplicity 9)

=====

Density functional theory data (PBE) for a relaxed Lu4InAuC2 crystal.

Computed properties:
The value obtained for the electronic total energy is -5.85 eV/atom. As for the total magnetic moment: 0.00 μB/cell.

Cell: 3.5522 3.5522 14.7657 Å, 90.00 90.00 120.00°
Space group P-6m2 (No. 187)
Symmetry-distinct sites (fractional):
1 Lu 0.0000 0.0000 0.1481 (multiplicity 2)
2 Lu 0.3333 0.6667 0.3234 (multiplicity 2)
3 In 0.0000 0.0000 0.5000 (multiplicity 1)
4 Au 0.3333 0.6667 0.0000 (multiplicity 1)
5 C 0.6667 0.3333 0.2335 (multiplicity 2)

=====

Density functional theory data (PBE) for a relaxed TmGeAuSe3 crystal.

Computed properties:
The value obtained for the electronic total energy is -4.63 eV/atom. As for the total magnetic moment: 0.01 μB/cell. Its relative energy among the computed polymorphs is 0.000 eV per atom.

Cell: 10.155 4.028 15.077 Å, 90.00 90.00 90.00°
Space group Pnma (No. 62)
Symmetry-distinct sites (fractional):
1 Tm 0.179 0.250 0.023 (multiplicity 4)
2 Ge 0.022 0.750 0.284 (multiplicity 4)
3 Au 0.226 0.250 0.327 (multiplicity 4)
4 Se 0.021 0.750 0.109 (multiplicity 4)
5 Se 0.145 0.250 0.481 (multiplicity 4)
6 Se 0.150 0.750 0.688 (multiplicity 4)

=====

Q: What is the formula in the third record?
A: TmGeAuSe3

=====

Q: Among the records above, which one has the highest total magnetic moment?
A: Cs2ScHgBr6